[1]
A relaxed structure of HoMoP2Rh5. Source: Alexandria via LeMat-Bulk, functional PBE.

As for the volume: 163 Å³/cell. As for the crystal system: tetragonal. The value obtained for the raw total energy is -7.254 eV per atom.

Cell: 3.9584 3.9584 10.3927 Å, 90.00 90.00 90.00°
Closest atoms and distances in Å follow each position.
Space group P4/mmm (No. 123)
Inequivalent atoms, fractional coordinates:
1 Ho 0.0000 0.0000 0.0000 [1 per cell]  4 Rh 2.80
2 Mo 0.5000 0.5000 0.5000 [1 per cell]  8 Rh 2.60
3 P 0.5000 0.5000 0.2161 [2 per cell]  5 Rh 2.25-2.35
4 Rh 0.0000 0.5000 0.3374 [4 per cell]  2 P 2.35, 2 Mo 2.60
5 Rh 0.5000 0.5000 0.0000 [1 per cell]  2 P 2.25

---

[2]
A relaxed structure of Ca2TlP. Source: Alexandria via LeMat-Bulk, functional PBE.

As for the volume: 229 Å³/cell. As for the crystal system: orthorhombic. For the energy relative to the lowest polymorph listed for this composition, the calculation gives 0.108 eV per atom. The value obtained for the raw total energy is -3.509 eV per atom.

Cell: 3.8112 4.3909 13.7112 Å, 90.00 90.00 90.00°
Closest atoms and distances in Å follow each position.
Space group Imm2 (No. 44)
Inequivalent atoms, fractional coordinates:
1 Ca 0.0000 0.0000 0.0000 [2 per cell]  2 P 2.88
2 Ca 0.0000 0.5000 0.1987 [2 per cell]  4 P 2.96
3 Tl 0.0000 0.0000 0.3811 [2 per cell]  6 Ca 3.33, 2 P 3.61
4 P 0.0000 0.5000 0.6576 [2 per cell]  6 Ca 2.88-2.96

---

[3]
A relaxed structure of CaLa2TeMo. Source: Alexandria via LeMat-Bulk, functional PBE.

As for the volume: 166 Å³/cell. As for the crystal system: tetragonal. The value obtained for the raw total energy is -5.155 eV per atom. For the formation energy without anion corrections, the calculation gives 0.0113 eV per atom.

Cell: 5.4755 5.4755 5.5230 Å, 90.00 90.00 90.00°
Closest atoms and distances in Å follow each position.
Space group P4/mmm (No. 123)
Inequivalent atoms, fractional coordinates:
1 Ca 0.0000 0.0000 0.0000 [1 per cell]  4 Te 3.87, 8 La 3.89
2 La 0.0000 0.5000 0.5000 [2 per cell]  2 Mo 2.74
3 Te 0.5000 0.5000 0.0000 [1 per cell]  2 Mo 2.76
4 Mo 0.5000 0.5000 0.5000 [1 per cell]  4 La 2.74, 2 Te 2.76

---

[4]
A relaxed structure of Ho4CdAg2Os. Source: Alexandria via LeMat-Bulk, functional PBE.

As for the volume: 552 Å³/cell. As for the crystal system: trigonal. The value obtained for the raw total energy is -4.853 eV per atom.

Cell: 5.0752 5.0752 24.7585 Å, 90.00 90.00 120.00°
Closest atoms and distances in Å follow each position.
Space group R-3m (No. 166, hexagonal axes)
Inequivalent atoms, fractional coordinates:
1 Ho 0.0000 0.0000 0.1148 [6 per cell]  1 Os 2.84, 4 Ag 2.99-3.16
2 Ho 0.0000 0.0000 0.3669 [6 per cell]  3 Os 3.05, 4 Ag 3.08-3.26, 1 Cd 3.30, 3 Ho 3.37
3 Cd 0.0000 0.0000 0.5000 [3 per cell]  8 Ho 3.20-3.30, 6 Ag 3.48
4 Ag 0.0000 0.0000 0.2425 [6 per cell]  8 Ho 2.99-3.26
5 Os 0.0000 0.0000 0.0000 [3 per cell]  8 Ho 2.84-3.05